The following is a PBE calculation of Ge4Pt2O after structural relaxation, from OQMD via LeMat-Bulk.

abc: 6.036 6.036 4.252
angles: 90.00 90.00 90.00
Positions (direct):
Ge 0.194 0.194 0.274
Ge 0.194 0.806 0.726
Ge 0.806 0.194 0.726
Ge 0.806 0.806 0.274
Pt 0.000 0.500 0.000
Pt 0.500 0.000 0.000
O 0.000 0.000 0.000

The following is a PBE calculation of CdGeSeO after structural relaxation, from OQMD via LeMat-Bulk.

abc: 7.750 7.953 5.634
angles: 90.00 90.00 90.00
Positions (direct):
Cd 0.095 0.154 0.000
Cd 0.405 0.154 0.500
Cd 0.595 0.846 0.000
Cd 0.905 0.846 0.500
Ge 0.123 0.581 0.865
Ge 0.377 0.581 0.365
Ge 0.623 0.419 0.865
Ge 0.877 0.419 0.365
Se 0.056 0.151 0.518
Se 0.444 0.151 0.018
Se 0.556 0.849 0.518
Se 0.944 0.849 0.018
O 0.023 0.425 0.077
O 0.477 0.425 0.577
O 0.523 0.575 0.077
O 0.977 0.575 0.577

Values from the calculation:
* polymorph energy (0 for the lowest one): 0.000 eV per atom

The following is a PBE calculation of Ta2P after structural relaxation, from OQMD via LeMat-Bulk.

abc: 5.401 5.401 5.401
angles: 60.00 60.00 60.00
Positions (direct):
Ta 0.000 0.000 0.000
Ta 0.000 0.000 0.500
Ta 0.000 0.500 0.000
Ta 0.500 0.000 0.000
P 0.375 0.375 0.375
P 0.625 0.625 0.625

The following is a PBE calculation of Sr2Fe2Cu after structural relaxation, from OQMD via LeMat-Bulk.

abc: 8.513 8.513 8.513
angles: 155.53 155.53 34.88
Positions (direct):
Sr 0.104 0.104 0.000
Sr 0.896 0.896 0.000
Fe 0.250 0.750 0.500
Fe 0.750 0.250 0.500
Cu 0.500 0.500 0.000

The following is a PBE calculation of GdHoAs after structural relaxation, from OQMD via LeMat-Bulk.

abc: 4.826 4.826 4.826
angles: 60.00 60.00 60.00
Positions (direct):
Gd 0.000 0.000 0.000
Ho 0.500 0.500 0.500
As 0.250 0.250 0.250

Values from the calculation:
* polymorph energy (0 for the lowest one): 0.000 eV per atom

The following is a PBE calculation of ScBe2Zn2 after structural relaxation, from OQMD via LeMat-Bulk.

abc: 5.452 5.452 5.452
angles: 138.70 138.70 59.84
Positions (direct):
Sc 0.000 0.000 0.000
Be 0.250 0.750 0.500
Be 0.750 0.250 0.500
Zn 0.374 0.374 0.000
Zn 0.626 0.626 0.000

Calculated total energy values, unit eV/atom, following the record order: -5.237; -4.225; -8.970; -4.180; -5.388; -3.342.